DFT (PBE) results for a geometry-optimized CdAgO2F structure.

a = 4.115 Å, b = 4.115 Å, c = 4.154 Å
α = 90.00°, β = 90.00°, γ = 90.00°
Fractional coordinates of all 5 atoms:
F (0.000, 0.000, 0.500)
O (0.000, 0.500, 0.000)
O (0.500, 0.000, 0.000)
Ag (0.000, 0.000, 0.000)
Cd (0.500, 0.500, 0.500)

- Formation energy without anion corrections: -0.31 eV per atom
- Space-group type: No. 123
- D(E_F): 2.38 states/eV per cell
- DFT total energy: -3.424 eV per atom